[1]
Here is a relaxed CePr3Y2S6 crystal from the Alexandria database. Energies are from GGA-PBE.

Cell lengths 6.9521, 12.0641, 7.0171 Å; angles 90.00, 109.43, 90.00 degrees
Space group C2/m (No. 12)
Unique sites:
1 Ce 0.0000 0.0000 0.0000 [2 per cell]
2 Pr 0.0000 0.1662 0.5000 [4 per cell]
3 Pr 0.0000 0.5000 0.5000 [2 per cell]
4 Y 0.0000 0.3329 0.0000 [4 per cell]
5 S 0.2401 0.5000 0.2353 [4 per cell]
6 S 0.2478 0.1690 0.2362 [8 per cell]

Results
Its raw total energy is -6.854 eV/atom. As for the uncorrected formation energy: -2.02 eV per atom. The crystal system is monoclinic.

=====

[2]
Here is a relaxed Ce3Pr2YS6 crystal from the Alexandria database. Energies are from GGA-PBE.

Cell lengths 6.9934, 12.1153, 6.9951 Å; angles 90.00, 109.52, 90.00 degrees
Space group C2/m (No. 12)
Unique sites:
1 Ce 0.0000 0.0000 0.0000 [2 per cell]
2 Ce 0.0000 0.3301 0.0000 [4 per cell]
3 Pr 0.0000 0.1664 0.5000 [4 per cell]
4 Y 0.0000 0.5000 0.5000 [2 per cell]
5 S 0.2396 0.5000 0.2474 [4 per cell]
6 S 0.2448 0.3379 0.7490 [8 per cell]

Results
Its raw total energy is -6.912 eV/atom. As for the uncorrected formation energy: -2.03 eV per atom. The crystal system is monoclinic.

=====

[3]
Here is a relaxed Ce2Pr3YS6 crystal from the Alexandria database. Energies are from GGA-PBE.

Cell lengths 7.0024, 12.1428, 7.0241 Å; angles 90.00, 109.50, 90.00 degrees
Space group C2/m (No. 12)
Unique sites:
1 Ce 0.0000 0.1662 0.0000 [4 per cell]
2 Pr 0.0000 0.0000 0.5000 [2 per cell]
3 Pr 0.0000 0.3329 0.5000 [4 per cell]
4 Y 0.0000 0.5000 0.0000 [2 per cell]
5 S 0.2439 0.3357 0.2394 [8 per cell]
6 S 0.2480 0.5000 0.7594 [4 per cell]

Results
Its raw total energy is -6.816 eV/atom. As for the uncorrected formation energy: -2.03 eV per atom. The crystal system is monoclinic.

=====

[4]
Here is a relaxed CePr3Sb2 crystal from the Alexandria database. Energies are from GGA-PBE.

Cell lengths 7.3952, 14.7938, 7.8467 Å; angles 90.00, 90.00, 90.00 degrees
Space group Ibam (No. 72)
Unique sites:
1 Ce 0.0000 0.0000 0.0000 [4 per cell]
2 Pr 0.0000 0.2064 0.2500 [8 per cell]
3 Pr 0.0000 0.5000 0.2500 [4 per cell]
4 Sb 0.1757 0.3533 0.0000 [8 per cell]

Results
Its raw total energy is -5.330 eV/atom. As for the uncorrected formation energy: -0.58 eV per atom. The crystal system is orthorhombic.

=====

[5]
Here is a relaxed CePr3Sb4 crystal from the Alexandria database. Energies are from GGA-PBE.

Cell lengths 6.4261, 6.4261, 12.8539 Å; angles 90.00, 90.00, 90.00 degrees
Space group I4/mmm (No. 139)
Unique sites:
1 Ce 0.0000 0.0000 0.0000 [2 per cell]
2 Pr 0.0000 0.0000 0.5000 [2 per cell]
3 Pr 0.0000 0.5000 0.2500 [4 per cell]
4 Sb 0.0000 0.0000 0.2472 [4 per cell]
5 Sb 0.0000 0.5000 0.0000 [4 per cell]

Results
Its raw total energy is -5.754 eV/atom. As for the uncorrected formation energy: -1.16 eV per atom. The crystal system is tetragonal.

=====

[6]
Here is a relaxed Ce3Pr2Sb3 crystal from the Alexandria database. Energies are from GGA-PBE.

Cell lengths 9.3718, 9.3718, 6.5303 Å; angles 90.00, 90.00, 120.00 degrees
Space group P6_3/mcm (No. 193)
Unique sites:
1 Ce 0.0000 0.2549 0.2500 [6 per cell]
2 Pr 0.3333 0.6667 0.0000 [4 per cell]
3 Sb 0.0000 0.3829 0.7500 [6 per cell]

Results
Its raw total energy is -5.783 eV/atom. As for the uncorrected formation energy: -0.82 eV per atom. The crystal system is hexagonal.

=====

[7]
Here is a relaxed CePr5Sb4 crystal from the Alexandria database. Energies are from GGA-PBE.

Cell lengths 19.3957, 4.4478, 8.8128 Å; angles 90.00, 104.97, 90.00 degrees
Space group C2/m (No. 12)
Unique sites:
1 Ce 0.0000 0.0000 0.0000 [2 per cell]
2 Pr 0.0000 0.0000 0.5000 [2 per cell]
3 Pr 0.1640 0.5000 0.8288 [4 per cell]
4 Pr 0.1736 0.5000 0.3459 [4 per cell]
5 Sb 0.0059 0.5000 0.2519 [4 per cell]
6 Sb 0.1682 0.0000 0.0882 [4 per cell]

Results
Its raw total energy is -5.406 eV/atom. As for the uncorrected formation energy: -0.77 eV per atom. The crystal system is monoclinic.

=====

[8]
Here is a relaxed Ce5PrSb3 crystal from the Alexandria database. Energies are from GGA-PBE.

Cell lengths 9.5002, 9.5002, 6.5159 Å; angles 90.00, 90.00, 120.00 degrees
Space group P6_3/mcm (No. 193)
Unique sites:
1 Ce 0.0000 0.3400 0.2500 [6 per cell]
2 Ce 0.3333 0.6667 0.0000 [4 per cell]
3 Pr 0.0000 0.0000 0.0000 [2 per cell]
4 Sb 0.0000 0.3302 0.7500 [6 per cell]

Results
Its raw total energy is -5.868 eV/atom. As for the uncorrected formation energy: -0.67 eV per atom. The crystal system is hexagonal.

=====

> What is the formula in the first record?

CePr3Y2S6

=====

> Which of these has the lowest raw total energy?

Ce3Pr2YS6

=====

> Among the records above, which one has the highest raw total energy?

CePr3Sb2

=====

> Among the records above, which one has the highest raw total energy?

CePr3Sb2